1.
Here is a relaxed Li2Pm2AuO6 crystal from Alexandria via LeMat-Bulk. Energies are from PBE-GGA.

Unit cell a=6.140 b=6.140 c=5.118 alpha=95.66 beta=95.66 gamma=123.41
Fractional positions:
Li  0.118  0.882  0.000
Li  0.882  0.118  0.000
Pm  0.338  0.662  0.500
Pm  0.662  0.338  0.500
Au  0.000  0.000  0.500
O  0.020  0.349  0.726
O  0.242  0.242  0.263
O  0.349  0.020  0.726
O  0.651  0.980  0.274
O  0.758  0.758  0.737
O  0.980  0.651  0.274

- Total moment: 1.00 μB per cell
- Theoretical density: 6.29 Mg/m³
- Raw formation energy: -21.14 eV per formula unit
- Crystal system: monoclinic
- Density of states at the Fermi level: 0.098 states/eV/atom

2.
Here is a relaxed LiPr2AuO5 crystal from Alexandria via LeMat-Bulk. Energies are from PBE-GGA.

Unit cell a=6.861 b=6.861 c=5.944 alpha=90.00 beta=90.00 gamma=90.00
Fractional positions:
Li  0.000  0.000  0.000
Li  0.500  0.500  0.000
Pr  0.178  0.322  0.500
Pr  0.322  0.822  0.500
Pr  0.678  0.178  0.500
Pr  0.822  0.678  0.500
Au  0.000  0.500  0.000
Au  0.500  0.000  0.000
O  0.000  0.000  0.500
O  0.136  0.636  0.253
O  0.136  0.636  0.747
O  0.364  0.136  0.253
O  0.364  0.136  0.747
O  0.500  0.500  0.500
O  0.636  0.864  0.253
O  0.636  0.864  0.747
O  0.864  0.364  0.253
O  0.864  0.364  0.747

- Total moment: 0.00 μB per cell
- Theoretical density: 6.71 Mg/m³
- Raw formation energy: -18.52 eV per formula unit
- Crystal system: tetragonal
- Density of states at the Fermi level: 0.000 states/eV/atom